DFT (GGA-PBE) results for a relaxed structure of PrHo2AlAu4.

Cell: 9.0433 9.0433 9.0433 Å, 31.69 31.69 31.69°
Closest atoms and distances in Å follow each position.
Element x y z (fractional)
Pr 0.0000 0.0000 0.0000  8 Au 3.16-3.25
Ho 0.2385 0.2385 0.2385  7 Au 2.94-2.99
Ho 0.7615 0.7615 0.7615  7 Au 2.94-2.99
Al 0.5000 0.5000 0.5000  2 Au 2.74
Au 0.1226 0.1226 0.1226  4 Ho 2.94-2.98, 3 Al 3.07, 1 Pr 3.16, 3 Au 3.27
Au 0.3936 0.3936 0.3936  1 Al 2.74, 3 Ho 2.99
Au 0.6064 0.6064 0.6064  1 Al 2.74, 3 Ho 2.99
Au 0.8774 0.8774 0.8774  4 Ho 2.94-2.98, 3 Al 3.07, 1 Pr 3.16, 3 Au 3.27

Calculated values
* symmetry: R-3m, No. 166
* volume: 22.66 A^3/atom
* formation energy from the elements: -0.735 eV per atom
* crystal system: trigonal
* total magnetic moment: 0.00 Bohr magnetons per cell
* energy: -4.5830 eV per atom